AcTeBr6, optimized geometry, DFT PBE; formation energy (no corrections) = -1026 meV/atom; space-group type = P-1
1.0
7.099 0.000 0.000
3.097 6.527 0.000
0.031 3.780 6.778
Ac Te Br
1 1 6
direct
0.000 0.000 0.000 Ac
0.500 0.000 0.500 Te
0.070 0.516 0.241 Br
0.274 0.809 0.742 Br
0.436 0.830 0.264 Br
0.564 0.170 0.736 Br
0.726 0.191 0.258 Br
0.930 0.484 0.759 Br

***

BaZnCd2Sn, optimized geometry, DFT PBE; energy above the lowest structure with this stoichiometry = 0.195 eV per atom; space-group type = P4/mmm; energy relative to the elements = -0.13 eV per atom
1.0
5.178 0.000 0.000
0.000 5.178 0.000
0.000 0.000 5.577
Ba Zn Cd Sn
1 1 2 1
direct
0.000 0.000 0.000 Ba
0.500 0.500 0.500 Zn
0.000 0.500 0.500 Cd
0.500 0.000 0.500 Cd
0.500 0.500 0.000 Sn

***

LaFeHg3, optimized geometry, DFT PBE; energy above the lowest structure with this stoichiometry = 1.069 eV per atom; space-group type = Pm-3m; energy relative to the elements = 1.09 eV per atom
1.0
6.044 0.000 0.000
0.000 6.044 0.000
0.000 0.000 6.044
La Fe Hg
1 1 3
direct
0.000 0.000 0.000 La
0.500 0.500 0.500 Fe
0.000 0.000 0.500 Hg
0.000 0.500 0.000 Hg
0.500 0.000 0.000 Hg

***

The following D(E_F) values (in states/eV per atom) correspond, in order, to the records above: 0.20 0.37 2.36.
The following density values (in Mg/m³) correspond, in order, to the records above: 4.410 6.065 5.989.